[1]
Computed, not measured: an optimized crystal structure of Y2TmScTe4 at the PBE level of DFT.

Results
E_tot = -46.0 eV/f.u.
total magnetic moment = 0.0 μB per formula unit
uncorrected formation energy = -28.11 kcal/mol of atoms

```
data_Y2TmScTe4
_cell_length_a 7.452
_cell_length_b 4.264
_cell_length_c 7.502
_cell_angle_alpha 90.00
_cell_angle_beta 108.98
_cell_angle_gamma 90.00
_space_group_name_H-M_alt 'P 1 2/m 1'
_space_group_IT_number 10
loop_
_space_group_symop_operation_xyz
'x,y,z'
'-x,-y,-z'
'-x,y,-z'
'x,-y,z'
loop_
_atom_site_label
_atom_site_fract_x
_atom_site_fract_y
_atom_site_fract_z
_atom_site_occupancy
Y1 0.000 0.000 0.000 1
Y2 0.500 0.500 0.000 1
Tm1 0.000 0.500 0.500 1
Sc1 0.500 0.000 0.500 1
Te1 0.252 0.000 0.741 1
Te2 0.258 0.500 0.262 1
```

[2]
Computed, not measured: an optimized crystal structure of TlZn2SbCl8 at the PBE level of DFT.

Results
E_tot = -35.7 eV/f.u.
total magnetic moment = 0.0 μB per formula unit
uncorrected formation energy = -22.84 kcal/mol of atoms

```
data_TlZn2SbCl8
_cell_length_a 6.4345
_cell_length_b 6.4345
_cell_length_c 29.4375
_cell_angle_alpha 90.00
_cell_angle_beta 90.00
_cell_angle_gamma 120.00
_space_group_name_H-M_alt 'R -3'
_space_group_IT_number 148
_space_group_name_Hall '-R 3'
loop_
_atom_site_label
_atom_site_fract_x
_atom_site_fract_y
_atom_site_fract_z
_atom_site_occupancy
Tl1 0.0000 0.0000 0.0000 1
Zn1 0.0000 0.0000 0.2483 1
Sb1 0.0000 0.0000 0.5000 1
Cl1 0.0000 0.0000 0.3232 1
Cl2 0.0022 0.3265 0.1127 1
```

[3]
Computed, not measured: an optimized crystal structure of Y8Ni2Au at the PBE level of DFT.

Results
E_tot = -68.7 eV/f.u.
DFT formation energy = -0.197 eV/atom
total magnetic moment = 0.0 μB per formula unit

```
data_Y8Ni2Au
_cell_length_a 8.383
_cell_length_b 12.950
_cell_length_c 5.706
_cell_angle_alpha 90.00
_cell_angle_beta 106.14
_cell_angle_gamma 90.00
_space_group_name_H-M_alt 'C 1 m 1'
_space_group_IT_number 8
loop_
_space_group_symop_operation_xyz
'x,y,z'
'x,-y,z'
'x+1/2,y+1/2,z'
'x+1/2,-y+1/2,z'
loop_
_atom_site_label
_atom_site_fract_x
_atom_site_fract_y
_atom_site_fract_z
_atom_site_occupancy
Y1 0.000 0.000 0.000 1
Y2 0.082 0.370 0.772 1
Y3 0.166 0.130 0.591 1
Y4 0.249 0.500 0.371 1
Y5 0.374 0.231 0.185 1
Ni1 0.374 0.303 0.685 1
Au1 0.372 0.000 0.295 1
```

[4]
Computed, not measured: an optimized crystal structure of Tm2SbPd9 at the PBE level of DFT.

Results
E_tot = -68.8 eV/f.u.
total magnetic moment = 0.0 μB per formula unit
uncorrected formation energy = -17.22 kcal/mol of atoms

```
data_Tm2SbPd9
_cell_length_a 4.083
_cell_length_b 4.083
_cell_length_c 12.213
_cell_angle_alpha 90.00
_cell_angle_beta 90.00
_cell_angle_gamma 90.00
_space_group_name_H-M_alt 'P 4/m m m'
_space_group_IT_number 123
_space_group_name_Hall '-P 4 2'
loop_
_atom_site_label
_atom_site_fract_x
_atom_site_fract_y
_atom_site_fract_z
_atom_site_occupancy
Tm1 0.000 0.000 0.165 1
Sb1 0.000 0.000 0.500 1
Pd1 0.000 0.500 0.000 1
Pd2 0.000 0.500 0.338 1
Pd3 0.500 0.500 0.171 1
Pd4 0.500 0.500 0.500 1
```

[5]
Computed, not measured: an optimized crystal structure of Mg2Nb2Tl at the PBE level of DFT.

Results
E_tot = -22.6 eV/f.u.
DFT formation energy = 0.626 eV/atom
relative energy among the computed polymorphs = 0.180 eV/atom
total magnetic moment = 0.0 μB per formula unit

```
data_Mg2Nb2Tl
_cell_length_a 7.829
_cell_length_b 7.829
_cell_length_c 3.254
_cell_angle_alpha 90.00
_cell_angle_beta 90.00
_cell_angle_gamma 90.00
_space_group_name_H-M_alt 'P 4/m b m'
_space_group_IT_number 127
_space_group_name_Hall '-P 4 2ab'
loop_
_atom_site_label
_atom_site_fract_x
_atom_site_fract_y
_atom_site_fract_z
_atom_site_occupancy
Mg1 0.121 0.379 0.000 1
Nb1 0.177 0.677 0.500 1
Tl1 0.000 0.000 0.000 1
```

[6]
Computed, not measured: an optimized crystal structure of TmPuAs at the PBE level of DFT.

Results
E_tot = -25.2 eV/f.u.
DFT formation energy = -0.566 eV/atom
relative energy among the computed polymorphs = 0.297 eV/atom
total magnetic moment = 6.0 μB per formula unit

```
data_TmPuAs
_cell_length_a 3.643
_cell_length_b 3.643
_cell_length_c 11.242
_cell_angle_alpha 90.00
_cell_angle_beta 90.00
_cell_angle_gamma 90.00
_space_group_name_H-M_alt 'I 4 m m'
_space_group_IT_number 107
_space_group_name_Hall 'I 4 -2'
loop_
_atom_site_label
_atom_site_fract_x
_atom_site_fract_y
_atom_site_fract_z
_atom_site_occupancy
Tm1 0.000 0.000 0.000 1
Pu1 0.000 0.000 0.721 1
As1 0.000 0.000 0.371 1
```

- Among the records above, which one has the highest E_tot?
  Mg2Nb2Tl